# Ce2TcWN6, relaxed, DFT PBE-GGA
data_Ce2TcWN6
_chemical_formula_sum 'Ce4 Tc2 W2 N12'
_space_group_name_H-M_alt 'P 1 21/c 1'
_space_group_IT_number 14
_cell_length_a 5.500
_cell_length_b 5.634
_cell_length_c 9.576
_cell_angle_alpha 90.00
_cell_angle_beta 124.88
_cell_angle_gamma 90.00
loop_
_space_group_symop_operation_xyz
'x,y,z'
'-x,-y,-z'
'-x,y+1/2,-z+1/2'
'x,-y+1/2,z+1/2'
loop_
_atom_site_label
_atom_site_type_symbol
_atom_site_fract_x
_atom_site_fract_y
_atom_site_fract_z
Ce1 Ce 0.245 0.052 0.249
Tc1 Tc 0.500 0.000 0.000
W1 W 0.000 0.000 0.500
N1 N 0.153 0.199 0.958
N2 N 0.262 0.698 0.959
N3 N 0.328 0.020 0.749
# - formation energy (no corrections) (eV/atom) = -0.851
# - total DFT energy (no corrections) (eV per atom) = -9.37
# - M_tot (μB per cell) = 0.0